1.
# Zn2ReH2

A relaxed Zn2ReH2 crystal (PBE, Alexandria via LeMat-Bulk).

Lattice parameters (Å, degrees): 5.521 5.521 3.606 90.00 90.00 90.00
Space group P4/mbm (No. 127)
Inequivalent atoms, fractional coordinates:
Zn1 0.234 0.266 0.000 x4
Re1 0.000 0.000 0.500 x2
H1 0.214 0.714 0.500 x4

Computed properties:
The total energy is -4.00 eV per atom.


2.
# Tm2AgRu

A relaxed Tm2AgRu crystal (PBE, Alexandria via LeMat-Bulk).

Lattice parameters (Å, degrees): 3.5529 3.5529 25.1169 90.00 90.00 120.00
Space group R-3m (No. 166, hexagonal axes)
Inequivalent atoms, fractional coordinates:
Tm1 0.0000 0.0000 0.2396 x6
Ag1 0.0000 0.0000 0.0000 x3
Ru1 0.0000 0.0000 0.5000 x3

Computed properties:
The value obtained for the formation energy is -148 meV per atom.


3.
# La3TbPmHo

A relaxed La3TbPmHo crystal (PBE, Alexandria via LeMat-Bulk).

Lattice parameters (Å, degrees): 10.984 3.670 10.990 90.00 109.63 90.00
Space group P2_1/m (No. 11)
Inequivalent atoms, fractional coordinates:
La1 0.041 0.250 0.370 x2
La2 0.292 0.750 0.625 x2
La3 0.454 0.750 0.123 x2
Tb1 0.205 0.250 0.879 x2
Pm1 0.373 0.250 0.371 x2
Ho1 0.122 0.750 0.120 x2

Computed properties:
The value obtained for the formation energy is 23 meV per atom.


4.
# TiInSiOs2

A relaxed TiInSiOs2 crystal (PBE, Alexandria via LeMat-Bulk).

Lattice parameters (Å, degrees): 4.639 4.639 4.584 90.00 90.00 90.00
Space group P4/mmm (No. 123)
Inequivalent atoms, fractional coordinates:
Ti1 0.000 0.000 0.000 x1
In1 0.500 0.500 0.500 x1
Si1 0.000 0.000 0.500 x1
Os1 0.000 0.500 0.000 x2

Computed properties:
The uncorrected formation energy is 1.297 eV per atom.


M_tot, record by record: 0.00, 0.04, 0.00, 0.00 μB per cell
Volume, record by record: 109.9, 274.6, 417.3, 98.6 Å³ per cell